Material: K2PaAsO6
Method: DFT, PBE
State: relaxed

Lattice parameters (Å, degrees): 4.5038 5.6464 5.6464 90.00 90.00 90.00
Element x y z (fractional)
1 O 0.1941 0.0000 0.0000
2 O 0.6560 0.7710 0.7710
3 O 0.1544 0.5000 0.5000
4 O 0.6560 0.7710 0.2290
5 O 0.6560 0.2290 0.7710
6 O 0.6560 0.2290 0.2290
7 As 0.5702 0.0000 0.0000
8 K 0.1288 0.0000 0.5000
9 K 0.1288 0.5000 0.0000
10 Pa 0.6465 0.5000 0.5000

Results
* E_form (uncorrected): -22.40 eV/f.u.
* crystal system: tetragonal

Material: AcLaCu
Method: DFT, PBE
State: relaxed

Lattice parameters (Å, degrees): 3.7874 3.7874 7.0497 105.58 105.58 90.00
Element x y z (fractional)
1 Ac 0.3070 0.3070 0.6140
2 Cu 0.6588 0.6588 0.3176
3 La 0.0342 0.0342 0.0684

Results
* energy of formation: -4.8 kJ/mol of atoms
* crystal system: tetragonal

Material: Be3BP
Method: DFT, PBE
State: relaxed

Lattice parameters (Å, degrees): 3.7100 3.7100 3.7100 90.00 90.00 90.00
Element x y z (fractional)
1 Be 0.0000 0.5000 0.0000
2 Be 0.5000 0.0000 0.0000
3 Be 0.0000 0.0000 0.5000
4 P 0.5000 0.5000 0.5000
5 B 0.0000 0.0000 0.0000

Results
* energy of formation: 41.3 kJ/mol of atoms
* crystal system: cubic

Material: GdHoMgPa
Method: DFT, PBE
State: relaxed

Lattice parameters (Å, degrees): 5.4203 5.4203 5.4203 60.00 60.00 60.00
Element x y z (fractional)
1 Mg 0.0000 0.0000 0.0000
2 Pa 0.5000 0.5000 0.5000
3 Ho 0.2500 0.2500 0.2500
4 Gd 0.7500 0.7500 0.7500

Results
* energy of formation: 32.0 kJ/mol of atoms
* crystal system: cubic

Material: Ac2HoMg
Method: DFT, PBE
State: relaxed

Lattice parameters (Å, degrees): 3.7377 3.7377 13.1968 81.86 81.86 60.00
Element x y z (fractional)
1 Ho 0.5000 0.5000 0.5000
2 Ac 0.0903 0.0903 0.7290
3 Ac 0.9097 0.9097 0.2710
4 Mg 0.0000 0.0000 0.0000

Results
* energy of formation: 24.7 kJ/mol of atoms
* crystal system: trigonal

Material: Er8TmTh4
Method: DFT, PBE
State: relaxed

Lattice parameters (Å, degrees): 7.3414 7.3414 9.7918 90.00 112.02 120.00
Element x y z (fractional)
1 Th 0.0000 0.0000 0.0000
2 Th 0.0000 0.5000 0.0000
3 Th 0.5000 0.5000 0.0000
4 Th 0.5000 0.0000 0.0000
5 Er 0.9424 0.7508 0.6932
6 Er 0.4983 0.2492 0.3068
7 Er 0.0576 0.8084 0.3068
8 Er 0.5609 0.7804 0.3413
9 Er 0.4391 0.2196 0.6587
10 Er 0.9424 0.1916 0.6932
11 Er 0.5017 0.7508 0.6932
12 Er 0.0576 0.2492 0.3068
13 Tm 0.0000 0.5000 0.5000

Results
* energy of formation: 21.9 kJ/mol of atoms
* crystal system: trigonal

Material: Nd2SmTl2
Method: DFT, PBE
State: relaxed

Lattice parameters (Å, degrees): 6.8664 5.4028 10.2583 74.68 62.47 66.85
Element x y z (fractional)
1 Sm 0.2218 0.0705 0.6433
2 Sm 0.7782 0.9295 0.3567
3 Tl 0.2763 0.6357 0.4589
4 Tl 0.7814 0.1287 0.9541
5 Tl 0.2186 0.8713 0.0459
6 Tl 0.7237 0.3643 0.5411
7 Nd 0.7494 0.7492 0.7492
8 Nd 0.2778 0.4375 0.8537
9 Nd 0.7222 0.5625 0.1463
10 Nd 0.2506 0.2508 0.2508

Results
* energy of formation: -27.9 kJ/mol of atoms
* crystal system: triclinic

Material: NaLi5Hg6
Method: DFT, PBE
State: relaxed

Lattice parameters (Å, degrees): 4.7746 6.9992 7.5279 90.00 109.51 90.00
Element x y z (fractional)
1 Hg 0.8283 0.7387 0.6542
2 Hg 0.5000 0.7338 0.0000
3 Hg 0.1717 0.2613 0.3458
4 Hg 0.8283 0.2613 0.6542
5 Hg 0.1717 0.7387 0.3458
6 Hg 0.5000 0.2662 0.0000
7 Li 0.3382 0.5000 0.6741
8 Li 0.6618 0.5000 0.3259
9 Li 0.0000 0.5000 0.0000
10 Li 0.3332 0.0000 0.6660
11 Li 0.6668 0.0000 0.3340
12 Na 0.0000 0.0000 0.0000

Results
* energy of formation: -32.3 kJ/mol of atoms
* crystal system: monoclinic

Material: KCd2AgBr6
Method: DFT, PBE
State: relaxed

Lattice parameters (Å, degrees): 8.0337 10.0793 10.0793 86.72 75.20 75.20
Element x y z (fractional)
1 Br 0.4757 0.4476 0.3060
2 Br 0.9319 0.3815 0.8745
3 Br 0.3322 0.1893 0.0498
4 Br 0.5243 0.5524 0.6940
5 Br 0.0681 0.6185 0.1255
6 Br 0.5681 0.1255 0.6185
7 Br 0.6678 0.8107 0.9502
8 Br 0.0243 0.6940 0.5524
9 Br 0.4319 0.8745 0.3815
10 Br 0.8322 0.0498 0.1893
11 Br 0.1678 0.9502 0.8107
12 Br 0.9757 0.3060 0.4476
13 K 0.2500 0.8769 0.1231
14 K 0.7500 0.1231 0.8769
15 Cd 0.7988 0.6148 0.7629
16 Cd 0.2012 0.3852 0.2371
17 Cd 0.2988 0.7629 0.6148
18 Cd 0.7012 0.2371 0.3852
19 Ag 0.2500 0.2153 0.7847
20 Ag 0.7500 0.7847 0.2153

Results
* E_form (uncorrected): -9.15 eV/f.u.
* crystal system: monoclinic

Material: TiTcRhSe2
Method: DFT, PBE
State: relaxed

Lattice parameters (Å, degrees): 4.8879 4.5898 4.8879 90.00 90.00 90.00
Element x y z (fractional)
1 Se 0.5000 0.0000 0.0000
2 Se 0.0000 0.0000 0.5000
3 Rh 0.0000 0.0000 0.0000
4 Tc 0.5000 0.5000 0.5000
5 Ti 0.0000 0.5000 0.0000

Results
* E_form (uncorrected): 4.07 eV/f.u.
* crystal system: tetragonal

Material: Dy3AgN
Method: DFT, PBE
State: relaxed

Lattice parameters (Å, degrees): 4.7912 4.7912 4.7912 90.00 90.00 90.00
Element x y z (fractional)
1 Ag 0.5000 0.5000 0.5000
2 Dy 0.0000 0.5000 0.0000
3 Dy 0.0000 0.0000 0.5000
4 Dy 0.5000 0.0000 0.0000
5 N 0.0000 0.0000 0.0000

Results
* E_form (uncorrected): -3.70 eV/f.u.
* crystal system: cubic

Material: Er5SbSe4
Method: DFT, PBE
State: relaxed

Lattice parameters (Å, degrees): 4.1256 5.8028 10.8195 105.55 100.99 90.00
Element x y z (fractional)
1 Se 0.2034 0.2034 0.4068
2 Se 0.7966 0.7966 0.5932
3 Se 0.6010 0.6010 0.2020
4 Se 0.3990 0.3990 0.7980
5 Er 0.1993 0.6993 0.3986
6 Er 0.6063 0.1063 0.2127
7 Er 0.8007 0.3007 0.6014
8 Er 0.3937 0.8937 0.7873
9 Er 0.0000 0.5000 0.0000
10 Sb 0.0000 0.0000 0.0000

Results
* E_form (uncorrected): -15.69 eV/f.u.
* crystal system: orthorhombic

Material: Pr2Dy4TmSc
Method: DFT, PBE
State: relaxed

Lattice parameters (Å, degrees): 5.0297 5.0253 11.1734 63.25 90.00 90.00
Element x y z (fractional)
1 Dy 0.5000 0.2462 0.7541
2 Dy 0.0000 0.7468 0.7534
3 Dy 0.5000 0.7538 0.2459
4 Dy 0.0000 0.2532 0.2466
5 Pr 0.0000 0.0000 0.0000
6 Pr 0.5000 0.0000 0.5000
7 Sc 0.5000 0.5000 0.0000
8 Tm 0.0000 0.5000 0.5000

Results
* energy of formation: 3.7 kJ/mol of atoms
* crystal system: tetragonal

Material: YZn12Au6
Method: DFT, PBE
State: relaxed

Lattice parameters (Å, degrees): 7.3031 7.3031 7.3031 105.04 105.04 105.04
Element x y z (fractional)
1 Au 0.7122 0.7122 0.2856
2 Au 0.2878 0.2878 0.7144
3 Au 0.2878 0.7144 0.2878
4 Au 0.2856 0.7122 0.7122
5 Au 0.7122 0.2856 0.7122
6 Au 0.7144 0.2878 0.2878
7 Zn 0.6201 0.8636 0.6201
8 Zn 0.5000 0.8917 0.1083
9 Zn 0.8636 0.6201 0.6201
10 Zn 0.1083 0.5000 0.8917
11 Zn 0.3799 0.3799 0.1364
12 Zn 0.6201 0.6201 0.8636
13 Zn 0.5000 0.1083 0.8917
14 Zn 0.1083 0.8917 0.5000
15 Zn 0.8917 0.5000 0.1083
16 Zn 0.3799 0.1364 0.3799
17 Zn 0.1364 0.3799 0.3799
18 Zn 0.8917 0.1083 0.5000
19 Y 0.0000 0.0000 0.0000

Results
* energy of formation: -19.3 kJ/mol of atoms
* crystal system: trigonal

Material: MgTa2W2
Method: DFT, PBE
State: relaxed

Lattice parameters (Å, degrees): 3.8320 3.8320 7.3520 74.89 74.89 90.00
Element x y z (fractional)
1 Ta 0.3951 0.3951 0.2098
2 Ta 0.6049 0.6049 0.7902
3 W 0.2500 0.7500 0.5000
4 W 0.7500 0.2500 0.5000
5 Mg 0.0000 0.0000 0.0000

Results
* energy of formation: 85.2 kJ/mol of atoms
* crystal system: tetragonal

Material: Ba2CaHg3Pb4
Method: DFT, PBE
State: relaxed

Lattice parameters (Å, degrees): 5.0154 5.0154 13.3828 90.00 90.00 90.00
Element x y z (fractional)
1 Hg 0.0000 0.0000 0.5000
2 Hg 0.5000 0.0000 0.8611
3 Hg 0.0000 0.5000 0.1389
4 Pb 0.5000 0.5000 0.0000
5 Pb 0.5000 0.0000 0.6434
6 Pb 0.0000 0.5000 0.3566
7 Pb 0.0000 0.0000 0.0000
8 Ca 0.5000 0.5000 0.5000
9 Ba 0.0000 0.5000 0.7575
10 Ba 0.5000 0.0000 0.2425

Results
* energy of formation: -38.5 kJ/mol of atoms
* crystal system: tetragonal

Material: TbPmSmTh
Method: DFT, PBE
State: relaxed

Lattice parameters (Å, degrees): 3.6007 3.6007 10.2357 90.00 90.00 90.00
Element x y z (fractional)
1 Th 0.0000 0.0000 0.5690
2 Tb 0.5000 0.5000 0.3305
3 Sm 0.5000 0.5000 0.8112
4 Pm 0.0000 0.0000 0.0740

Results
* energy of formation: 2.5 kJ/mol of atoms
* crystal system: tetragonal

Material: LiHfAg2S
Method: DFT, PBE
State: relaxed

Lattice parameters (Å, degrees): 5.2036 5.5355 5.2036 90.00 90.00 90.00
Element x y z (fractional)
1 Li 0.0000 0.5000 0.0000
2 S 0.5000 0.5000 0.5000
3 Ag 0.5000 0.0000 0.0000
4 Ag 0.0000 0.0000 0.5000
5 Hf 0.0000 0.0000 0.0000

Results
* E_form (uncorrected): 6.71 eV/f.u.
* crystal system: tetragonal

Material: NbBr3O
Method: DFT, PBE
State: relaxed

Lattice parameters (Å, degrees): 10.6777 9.2900 11.0022 68.68 90.00 90.00
Element x y z (fractional)
1 Br 0.1011 0.3622 0.9393
2 Br 0.8821 0.9429 0.4233
3 Br 0.3536 0.9186 0.4303
4 Br 0.1179 0.9429 0.9233
5 Br 0.3536 0.0814 0.0697
6 Br 0.6464 0.9186 0.9303
7 Br 0.1011 0.6378 0.5607
8 Br 0.6464 0.0814 0.5697
9 Br 0.1179 0.0571 0.5767
10 Br 0.8989 0.3622 0.4393
11 Br 0.8821 0.0571 0.0767
12 Br 0.8989 0.6378 0.0607
13 Nb 0.1269 0.0997 0.1022
14 Nb 0.8731 0.0997 0.6022
15 Nb 0.8731 0.9003 0.8978
16 Nb 0.1269 0.9003 0.3978
17 O 0.1200 0.8675 0.2435
18 O 0.8800 0.1325 0.7565
19 O 0.8800 0.8675 0.7435
20 O 0.1200 0.1325 0.2565

Results
* E_form (uncorrected): -6.44 eV/f.u.
* crystal system: monoclinic

Material: Pr8SbRu2
Method: DFT, PBE
State: relaxed

Lattice parameters (Å, degrees): 5.7630 8.1868 8.1868 114.34 98.01 98.01
Element x y z (fractional)
1 Pr 0.3021 0.6074 0.6074
2 Pr 0.5000 0.7543 0.2457
3 Pr 0.9394 0.9247 0.6722
4 Pr 0.0606 0.0753 0.3278
5 Pr 0.9394 0.6722 0.9247
6 Pr 0.6979 0.3926 0.3926
7 Pr 0.5000 0.2457 0.7543
8 Pr 0.0606 0.3278 0.0753
9 Sb 0.5000 0.0000 0.0000
10 Ru 0.0000 0.2966 0.7034
11 Ru 0.0000 0.7034 0.2966

Results
* E_form (uncorrected): -2.44 eV/f.u.
* crystal system: monoclinic